[1]
Computed, not measured: a relaxed ZnInOs2 crystal at the PBE level of DFT.

Cell lengths 3.953, 3.953, 4.069 Å; angles 90.00, 90.00, 90.00 degrees
Space group P4/mmm (No. 123)
Asymmetric unit:
Zn  0.000  0.000  0.000
In  0.500  0.500  0.000
Os  0.000  0.500  0.500

Calculated values
Electronic total energy in eV per atom: -6.01
Theoretical density in g cm⁻³: 14.640

=====

[2]
Computed, not measured: a relaxed ZnInOs2 crystal at the PBE level of DFT.

Cell lengths 9.269, 2.913, 4.806 Å; angles 90.00, 100.22, 90.00 degrees
Space group Cm (No. 8)
Asymmetric unit:
Zn  0.000  0.000  0.000
In  0.266  0.500  0.254
Os  0.020  0.500  0.538
Os  0.249  0.000  0.746

Calculated values
Electronic total energy in eV per atom: -6.16
Theoretical density in g cm⁻³: 14.580

=====

[3]
Computed, not measured: a relaxed ZnInOs2 crystal at the PBE level of DFT.

Cell lengths 3.941, 3.941, 8.168 Å; angles 90.00, 90.00, 90.00 degrees
Space group I4/mmm (No. 139)
Asymmetric unit:
Zn  0.000  0.000  0.000
In  0.000  0.000  0.500
Os  0.000  0.500  0.250

Calculated values
Electronic total energy in eV per atom: -6.01
Theoretical density in g cm⁻³: 14.675

=====

Look up the theoretical density of the first one.
14.640 g cm⁻³